[1]
## KPbSe (GGA-PBE)

Data for an optimized crystal structure of KPbSe.

Structure (POSCAR):
```
KPbSe
1.0
0.000 3.746 3.746
3.746 0.000 3.746
3.746 3.746 0.000
K Pb Se
1 1 1
Cartesian
0.000 0.000 0.000
1.873 1.873 1.873
5.619 5.619 5.619
```

Calculated values
The offset from the most stable computed form is 545 meV/atom.

=====

[2]
## KPbSe (GGA-PBE)

Data for an optimized crystal structure of KPbSe.

Structure (POSCAR):
```
KPbSe
1.0
-2.164 2.265 7.027
2.164 -2.265 7.027
2.164 2.265 -7.027
K Pb Se
1 1 1
Cartesian
0.000 0.000 0.000
0.000 0.000 3.885
0.000 0.000 6.475
```

Calculated values
The offset from the most stable computed form is 142 meV/atom.

=====

[3]
## KPb3Se (GGA-PBE)

Data for an optimized crystal structure of KPb3Se.

Structure (POSCAR):
```
KPb3Se
1.0
5.836 0.000 0.000
0.000 5.836 0.000
0.000 0.000 5.836
K Pb Se
1 3 1
Cartesian
0.000 0.000 0.000
0.000 2.918 2.918
2.918 0.000 2.918
2.918 2.918 0.000
2.918 2.918 2.918
```

Calculated values
The offset from the most stable computed form is 0 meV/atom.

=====

[4]
## K2PbSe (GGA-PBE)

Data for an optimized crystal structure of K2PbSe.

Structure (POSCAR):
```
K2PbSe
1.0
0.000 4.101 4.101
4.101 0.000 4.101
4.101 4.101 0.000
K Pb Se
2 1 1
Cartesian
2.050 2.050 2.050
6.151 6.151 6.151
0.000 0.000 0.000
4.101 4.101 4.101
```

Calculated values
The offset from the most stable computed form is 264 meV/atom.

=====

[5]
## KPb5Se6 (GGA-PBE)

Data for an optimized crystal structure of KPb5Se6.

Structure (POSCAR):
```
KPb5Se6
1.0
3.819 -6.574 0.000
3.819 6.574 0.000
-2.516 0.000 7.182
K Pb Se
1 5 6
Cartesian
0.000 0.000 0.000
2.561 4.398 3.591
3.819 2.169 0.000
2.561 0.000 3.591
3.819 -2.169 0.000
2.561 -4.398 3.591
1.347 2.285 1.863
0.150 0.000 5.405
1.347 -2.285 1.863
3.776 2.285 5.318
4.973 0.000 1.776
3.776 -2.285 5.318
```

Calculated values
The calculation puts the raw total energy at -3.98 eV per atom.

=====

[6]
## K2PbSe (GGA-PBE)

Data for an optimized crystal structure of K2PbSe.

Structure (POSCAR):
```
K2PbSe
1.0
-2.476 2.476 5.482
2.476 -2.476 5.482
2.476 2.476 -5.482
K Pb Se
2 1 1
Cartesian
0.000 0.000 0.000
0.000 2.476 2.741
2.476 0.000 2.741
0.000 0.000 5.482
```

Calculated values
The offset from the most stable computed form is 200 meV/atom.

=====

[7]
## K2PbSe (GGA-PBE)

Data for an optimized crystal structure of K2PbSe.

Structure (POSCAR):
```
K2PbSe
1.0
3.271 -4.556 0.000
3.271 4.556 0.000
0.000 0.000 4.447
K Pb Se
2 1 1
Cartesian
1.635 2.278 0.000
1.635 -2.278 0.000
0.000 0.000 2.224
3.271 0.000 2.224
```

Calculated values
The offset from the most stable computed form is 116 meV/atom.

=====

[8]
## K2PbSe (GGA-PBE)

Data for an optimized crystal structure of K2PbSe.

Structure (POSCAR):
```
K2PbSe
1.0
5.060 0.000 0.000
0.000 4.937 0.000
-2.512 0.000 6.190
K Pb Se
2 1 1
Cartesian
0.000 0.000 0.000
0.000 2.469 3.491
2.528 0.000 2.481
2.533 2.469 0.926
```

Calculated values
The offset from the most stable computed form is 0 meV/atom.

=====

[9]
## K8PbSe6 (GGA-PBE)

Data for an optimized crystal structure of K8PbSe6.

Structure (POSCAR):
```
K8PbSe6
1.0
10.008 0.000 0.000
0.000 8.983 0.000
0.000 0.000 12.512
K Pb Se
16 2 12
Cartesian
0.000 1.285 0.000
0.000 1.702 6.431
1.729 4.615 1.929
1.804 6.157 10.684
1.946 8.401 2.937
3.058 0.581 9.193
3.200 2.825 4.428
3.275 4.368 8.185
5.004 7.280 0.175
5.004 7.697 6.256
6.733 4.368 8.185
6.808 2.825 4.428
6.950 0.581 9.193
8.062 8.401 2.937
8.204 6.157 10.684
8.279 4.615 1.929
0.000 6.168 6.790
5.004 2.815 0.534
0.000 2.058 3.284
0.000 4.131 8.570
0.000 7.067 0.682
0.000 8.233 8.529
2.216 6.018 5.319
2.788 2.964 11.575
5.004 0.750 2.273
5.004 1.915 6.938
5.004 4.852 2.314
5.004 6.925 9.540
7.220 2.964 11.575
7.791 6.018 5.319
```

Calculated values
The calculation puts the raw total energy at -3.18 eV per atom.

=====

[10]
## KPbSe2 (GGA-PBE)

Data for an optimized crystal structure of KPbSe2.

Structure (POSCAR):
```
KPbSe2
1.0
-2.865 2.865 3.330
2.865 -2.865 3.330
2.865 2.865 -3.330
K Pb Se
1 1 2
Cartesian
0.000 0.000 0.000
0.000 0.000 3.330
2.865 0.000 1.665
0.000 2.865 1.665
```

Calculated values
The calculation puts the raw total energy at -3.48 eV per atom.

=====

[11]
## K5Pb2Se5 (GGA-PBE)

Data for an optimized crystal structure of K5Pb2Se5.

Structure (POSCAR):
```
K5Pb2Se5
1.0
7.515 -2.348 0.000
7.515 2.348 0.000
-4.184 0.000 12.209
K Pb Se
5 2 5
Cartesian
0.000 0.000 0.000
0.080 0.000 6.792
0.105 0.000 10.509
10.741 0.000 1.701
10.765 0.000 5.417
3.878 0.000 8.600
6.967 0.000 3.609
1.233 0.000 3.566
5.488 0.000 1.316
5.423 0.000 6.105
5.357 0.000 10.893
9.612 0.000 8.643
```

Calculated values
The calculation puts the raw total energy at -3.43 eV per atom.

=====

[12]
## KPbSe (GGA-PBE)

Data for an optimized crystal structure of KPbSe.

Structure (POSCAR):
```
KPbSe
1.0
-1.990 1.990 6.251
1.990 -1.990 6.251
1.990 1.990 -6.251
K Pb Se
1 1 1
Cartesian
0.000 0.000 0.000
0.000 0.000 3.480
0.000 0.000 8.557
```

Calculated values
The offset from the most stable computed form is 77 meV/atom.